# 1
A plane-wave DFT calculation with PBE-GGA was carried out for an optimized crystal structure of Zn4Se.

Calculated values
As for the space group: No. 221. The formation energy (no corrections) comes out at 47 kJ per mole of atoms. The energy above the most stable polymorph in this dataset comes out at 171.8 kJ/mol of formula units.

a = 5.016 Å, b = 5.016 Å, c = 5.016 Å
α = 90.00°, β = 90.00°, γ = 90.00°
Element x y z (fractional)
1 Zn 0.000 0.000 0.000
2 Zn 0.000 0.500 0.500
3 Zn 0.500 0.000 0.500
4 Zn 0.500 0.500 0.000
5 Se 0.500 0.500 0.500

# 2
A plane-wave DFT calculation with PBE-GGA was carried out for an optimized crystal structure of BaTlTc2.

Calculated values
As for the space group: No. 99. The energy above the most stable polymorph in this dataset comes out at 23.9 kJ/mol of formula units.

a = 3.273 Å, b = 3.273 Å, c = 8.611 Å
α = 90.00°, β = 90.00°, γ = 90.00°
Element x y z (fractional)
1 Ba 0.000 0.000 0.000
2 Tl 0.500 0.500 0.330
3 Tc 0.000 0.000 0.570
4 Tc 0.500 0.500 0.700

# 3
A plane-wave DFT calculation with PBE-GGA was carried out for an optimized crystal structure of ReSb2TeIr.

Calculated values
As for the space group: No. 123. The formation energy (no corrections) comes out at 109 kJ per mole of atoms. The energy above the most stable polymorph in this dataset comes out at 0.0 kJ/mol of formula units.

a = 5.233 Å, b = 5.233 Å, c = 4.883 Å
α = 90.00°, β = 90.00°, γ = 90.00°
Element x y z (fractional)
1 Re 0.000 0.000 0.000
2 Sb 0.000 0.500 0.500
3 Sb 0.500 0.000 0.500
4 Te 0.500 0.500 0.000
5 Ir 0.000 0.000 0.500

# 4
A plane-wave DFT calculation with PBE-GGA was carried out for an optimized crystal structure of Ac2LaGe.

Calculated values
As for the space group: No. 160. The energy above the most stable polymorph in this dataset comes out at 25.4 kJ/mol of formula units.

a = 10.274 Å, b = 10.274 Å, c = 10.274 Å
α = 24.17°, β = 24.17°, γ = 24.17°
Element x y z (fractional)
1 Ac 0.000 0.000 0.000
2 Ac 0.208 0.208 0.208
3 La 0.438 0.438 0.438
4 Ge 0.603 0.603 0.603